A relaxed structure of BeGaIr2. Source: OQMD, functional PBE.

The structure belongs to space group P4/mmm (No. 123); the cell edges are 2.926, 2.926 and 5.898 Å and the angles 90.00°, 90.00° and 90.00°. Symmetry generates all atoms from Be at (0.000, 0.000, 0.000), Ga at (0.000, 0.000, 0.500) and Ir at (0.500, 0.500, 0.233).

As for the total magnetic moment: 0.01 μB/f.u. Its energy is -6.62 eV per atom.


A relaxed structure of Nd2Ho2CBr4Cl. Source: OQMD, functional PBE.

The structure belongs to space group C2/m (No. 12); the cell edges are 17.954, 3.791 and 8.033 Å and the angles 90.00°, 103.28° and 90.00°. Symmetry generates all atoms from Nd at (0.144, 0.000, 0.076), Ho at (0.000, 0.500, 0.206), C at (0.000, 0.000, 0.000), Br at (0.160, 0.500, 0.361), Br at (0.165, 0.500, 0.804) and Cl at (0.000, 0.000, 0.500).

As for the total magnetic moment: 0.08 μB/f.u. Its energy is -5.11 eV per atom.


A relaxed structure of Tb2ErCo2C2N3. Source: OQMD, functional PBE.

The structure belongs to space group I4/mmm (No. 139); the cell edges are 3.447, 3.447 and 19.355 Å and the angles 90.00°, 90.00° and 90.00°. Symmetry generates all atoms from Tb at (0.000, 0.000, 0.127), Er at (0.000, 0.000, 0.500), Co at (0.000, 0.500, 0.250), C at (0.000, 0.000, 0.307), N at (0.000, 0.000, 0.000) and N at (0.000, 0.000, 0.381).

As for the total magnetic moment: 0.00 μB/f.u. Its energy is -8.08 eV per atom.


A relaxed structure of TmPPt. Source: OQMD, functional PBE.

The structure belongs to space group P-6m2 (No. 187); the cell edges are 4.1110, 4.1110 and 3.8112 Å and the angles 90.00°, 90.00° and 120.00°. Symmetry generates all atoms from Tm at (0.0000, 0.0000, 0.0000), P at (0.6667, 0.3333, 0.5000) and Pt at (0.3333, 0.6667, 0.5000).

As for the total magnetic moment: 0.00 μB/f.u. Its energy is -6.65 eV per atom.


A relaxed structure of Ag2OsPb. Source: OQMD, functional PBE.

The structure belongs to space group F-43m (No. 216); the cell edges are 6.640, 6.640 and 6.640 Å and the angles 90.00°, 90.00° and 90.00°. Symmetry generates all atoms from Ag at (0.000, 0.000, 0.000), Ag at (0.250, 0.250, 0.250), Os at (0.250, 0.250, 0.750) and Pb at (0.000, 0.000, 0.500).

As for the total magnetic moment: 0.00 μB/f.u. Its energy is -4.45 eV per atom.


A relaxed structure of TmPtAu. Source: OQMD, functional PBE.

The structure belongs to space group F-43m (No. 216); the cell edges are 6.478, 6.478 and 6.478 Å and the angles 90.00°, 90.00° and 90.00°. Symmetry generates all atoms from Tm at (0.000, 0.000, 0.000), Pt at (0.250, 0.250, 0.750) and Au at (0.000, 0.000, 0.500).

As for the total magnetic moment: 0.00 μB/f.u. Its energy is -5.45 eV per atom.


A relaxed structure of BaZnGe2Ir. Source: OQMD, functional PBE.

The structure belongs to space group I-4m2 (No. 119); the cell edges are 4.267, 4.267 and 12.142 Å and the angles 90.00°, 90.00° and 90.00°. Symmetry generates all atoms from Ba at (0.000, 0.000, 0.000), Zn at (0.000, 0.500, 0.750), Ge at (0.000, 0.000, 0.361) and Ir at (0.000, 0.500, 0.250).

As for the total magnetic moment: 0.01 μB/f.u. Its energy is -4.64 eV per atom.


A relaxed structure of DyScFe. Source: OQMD, functional PBE.

The structure belongs to space group F-43m (No. 216); the cell edges are 6.380, 6.380 and 6.380 Å and the angles 90.00°, 90.00° and 90.00°. Symmetry generates all atoms from Dy at (0.000, 0.000, 0.000), Sc at (0.000, 0.000, 0.500) and Fe at (0.250, 0.250, 0.250).

As for the total magnetic moment: 0.02 μB/f.u. Its energy is -6.24 eV per atom.


A relaxed structure of TbDySb2Te2. Source: OQMD, functional PBE.

The structure belongs to space group P4mm (No. 99); the cell edges are 4.284, 4.284 and 9.258 Å and the angles 90.00°, 90.00° and 90.00°. Symmetry generates all atoms from Tb at (0.000, 0.000, 0.000), Dy at (0.500, 0.500, 0.550), Sb at (0.000, 0.500, 0.275), Te at (0.000, 0.000, 0.650) and Te at (0.500, 0.500, 0.898).

As for the total magnetic moment: 0.01 μB/f.u. Its energy is -5.06 eV per atom.


A relaxed structure of YCoCuGe2. Source: OQMD, functional PBE.

The structure belongs to space group I-4m2 (No. 119); the cell edges are 4.027, 4.027 and 10.163 Å and the angles 90.00°, 90.00° and 90.00°. Symmetry generates all atoms from Y at (0.000, 0.000, 0.000), Co at (0.000, 0.500, 0.250), Cu at (0.000, 0.500, 0.750) and Ge at (0.000, 0.000, 0.376).

As for the total magnetic moment: 0.76 μB/f.u. Its energy is -5.81 eV per atom.


A relaxed structure of TmInNiTe3. Source: OQMD, functional PBE.

The structure belongs to space group Pnma (No. 62); the cell edges are 15.713, 4.095 and 11.091 Å and the angles 90.00°, 90.00° and 90.00°. Symmetry generates all atoms from Tm at (0.017, 0.250, 0.168), In at (0.233, 0.250, 0.469), Ni at (0.008, 0.750, 0.397), Te at (0.087, 0.750, 0.596), Te at (0.109, 0.250, 0.929) and Te at (0.141, 0.750, 0.264).

As for the total magnetic moment: 0.00 μB/f.u. Its energy is -4.33 eV per atom.


A relaxed structure of ZnGeB. Source: OQMD, functional PBE.

The structure belongs to space group F-43m (No. 216); the cell edges are 5.516, 5.516 and 5.516 Å and the angles 90.00°, 90.00° and 90.00°. Symmetry generates all atoms from Zn at (0.000, 0.000, 0.000), Ge at (0.000, 0.000, 0.500) and B at (0.250, 0.250, 0.750).

Its energy is -3.56 eV per atom.


A relaxed structure of Th2Ir. Source: OQMD, functional PBE.

The structure belongs to space group Fd-3m (No. 227, origin choice 2); the cell edges are 12.278, 12.278 and 12.278 Å and the angles 90.00°, 90.00° and 90.00°. Symmetry generates all atoms from Th at (0.000, 0.000, 0.000) and Ir at (0.125, 0.125, 0.125).

As for the total magnetic moment: 0.45 μB/f.u. Its energy is -6.88 eV per atom.


A relaxed structure of Na2Mg2AlGaCu2. Source: OQMD, functional PBE.

The structure belongs to space group P-4m2 (No. 115); the cell edges are 4.623, 4.623 and 6.493 Å and the angles 90.00°, 90.00° and 90.00°. Symmetry generates all atoms from Na at (0.000, 0.500, 0.245), Mg at (0.000, 0.000, 0.500), Mg at (0.500, 0.500, 0.000), Al at (0.500, 0.500, 0.500), Ga at (0.000, 0.000, 0.000) and Cu at (0.000, 0.500, 0.745).

Its energy is -2.41 eV per atom.


A relaxed structure of ReCl2O2. Source: OQMD, functional PBE.

The structure belongs to space group Cc (No. 9); the cell edges are 14.308, 3.760 and 7.518 Å and the angles 90.00°, 105.13° and 90.00°. Symmetry generates all atoms from Re at (0.000, 0.004, 0.000), Cl at (0.168, 0.002, 0.081), Cl at (0.332, 0.498, 0.415), O at (0.000, 0.001, 0.750) and O at (0.000, 0.498, 0.500).

As for the total magnetic moment: 0.43 μB/f.u. Its energy is -6.32 eV per atom.


A relaxed structure of LiPrFeSe3. Source: OQMD, functional PBE.

The structure belongs to space group Cmcm (No. 63); the cell edges are 4.074, 12.683 and 11.303 Å and the angles 90.00°, 90.00° and 90.00°. Symmetry generates all atoms from Li at (0.000, 0.227, 0.250), Pr at (0.000, 0.000, 0.000), Fe at (0.000, 0.476, 0.750), Se at (0.000, 0.089, 0.750) and Se at (0.000, 0.351, 0.589).

As for the total magnetic moment: 4.00 μB/f.u. Its energy is -5.30 eV per atom.


A relaxed structure of BaLiAsPt. Source: OQMD, functional PBE.

The structure belongs to space group F-43m (No. 216); the cell edges are 7.043, 7.043 and 7.043 Å and the angles 90.00°, 90.00° and 90.00°. Symmetry generates all atoms from Ba at (0.000, 0.000, 0.000), Li at (0.250, 0.250, 0.250), As at (0.000, 0.000, 0.500) and Pt at (0.250, 0.250, 0.750).

As for the total magnetic moment: 0.00 μB/f.u. Its energy is -4.05 eV per atom.


A relaxed structure of GdPb3. Source: OQMD, functional PBE.

The structure belongs to space group Pm-3m (No. 221); the cell edges are 4.880, 4.880 and 4.880 Å and the angles 90.00°, 90.00° and 90.00°. Symmetry generates all atoms from Gd at (0.000, 0.000, 0.000) and Pb at (0.000, 0.500, 0.500).

As for the total magnetic moment: 0.00 μB/f.u. Its energy is -4.25 eV per atom.


A relaxed structure of LiMgAu2. Source: OQMD, functional PBE.

The structure belongs to space group P6_3/mmc (No. 194); the cell edges are 4.6104, 4.6104 and 8.1706 Å and the angles 90.00°, 90.00° and 120.00°. Symmetry generates all atoms from Li at (0.3333, 0.6667, 0.2500), Mg at (0.0000, 0.0000, 0.0000) and Au at (0.3333, 0.6667, 0.5809).

Its energy is -2.99 eV per atom.


A relaxed structure of KZn3. Source: OQMD, functional PBE.

The structure belongs to space group Pmmn (No. 59, origin choice 2); the cell edges are 4.474, 6.727 and 5.980 Å and the angles 90.00°, 90.00° and 90.00°. Symmetry generates all atoms from K at (0.250, 0.250, 0.100), Zn at (0.250, 0.057, 0.599) and Zn at (0.250, 0.750, 0.352).

Its energy is -1.17 eV per atom.


A relaxed structure of ReNiSbPt. Source: OQMD, functional PBE.

The structure belongs to space group F-43m (No. 216); the cell edges are 6.363, 6.363 and 6.363 Å and the angles 90.00°, 90.00° and 90.00°. Symmetry generates all atoms from Re at (0.000, 0.000, 0.000), Ni at (0.250, 0.250, 0.750), Sb at (0.000, 0.000, 0.500) and Pt at (0.250, 0.250, 0.250).

As for the total magnetic moment: 2.04 μB/f.u. Its energy is -6.54 eV per atom.


A relaxed structure of Hf2TlPt. Source: OQMD, functional PBE.

The structure belongs to space group F-43m (No. 216); the cell edges are 6.859, 6.859 and 6.859 Å and the angles 90.00°, 90.00° and 90.00°. Symmetry generates all atoms from Hf at (0.000, 0.000, 0.000), Hf at (0.250, 0.250, 0.250), Tl at (0.000, 0.000, 0.500) and Pt at (0.250, 0.250, 0.750).

As for the total magnetic moment: 2.82 μB/f.u. Its energy is -7.06 eV per atom.


A relaxed structure of HoLuIn. Source: OQMD, functional PBE.

The structure belongs to space group F-43m (No. 216); the cell edges are 7.225, 7.225 and 7.225 Å and the angles 90.00°, 90.00° and 90.00°. Symmetry generates all atoms from Ho at (0.000, 0.000, 0.000), Lu at (0.000, 0.000, 0.500) and In at (0.250, 0.250, 0.250).

As for the total magnetic moment: 0.02 μB/f.u. Its energy is -4.03 eV per atom.


A relaxed structure of Mg2Fe2Tc. Source: OQMD, functional PBE.

The structure belongs to space group I4/mmm (No. 139); the cell edges are 3.476, 3.476 and 26.785 Å and the angles 90.00°, 90.00° and 90.00°. Symmetry generates all atoms from Mg at (0.000, 0.000, 0.168), Mg at (0.000, 0.500, 0.000), Fe at (0.000, 0.000, 0.074), Fe at (0.000, 0.500, 0.250) and Tc at (0.000, 0.000, 0.408).

As for the total magnetic moment: 5.29 μB/f.u. Its energy is -5.42 eV per atom.